VASP calculation (PBE) on a geometry-optimized SrAl2Cd structure.

Results
* ΔE_f: 0.127 eV per atom
* space-group type: Cmmm, No. 65

Lattice parameters (Å, degrees): 5.7494 5.7494 3.2778 90.02 90.02 112.11
Fractional coordinates of all 4 atoms:
Al  0.0000  0.0000  0.0000
Cd  0.5000  0.0000  0.5000
Sr  0.0000  0.5000  0.5000
Al  0.5000  0.5000  0.0000

---

VASP calculation (PBE) on a geometry-optimized Sr2AlCd structure.

Results
* ΔE_f: -0.213 eV per atom
* space-group type: P4/mmm, No. 123

Lattice parameters (Å, degrees): 5.6909 3.9781 5.6926 89.99 90.00 90.00
Fractional coordinates of all 4 atoms:
Cd  0.5000  0.6248  0.8754
Sr  0.5000  0.1246  0.3753
Al  0.0000  0.6251  0.3745
Sr  0.0000  0.1255  0.8748

---

VASP calculation (PBE) on a geometry-optimized SrAl2Cd2 structure.

Results
* ΔE_f: 0.005 eV per atom
* space-group type: P4/mbm, No. 127

Lattice parameters (Å, degrees): 8.3859 8.3859 3.4455 90.00 90.00 90.00
Fractional coordinates of all 10 atoms:
Cd  0.6717  0.8283  0.5000
Al  0.1193  0.3807  0.0000
Al  0.8807  0.6193  0.0000
Al  0.3807  0.8807  0.0000
Sr  0.0000  0.0000  0.0000
Sr  0.5000  0.5000  0.0000
Al  0.6193  0.1193  0.0000
Cd  0.8283  0.3283  0.5000
Cd  0.1717  0.6717  0.5000
Cd  0.3283  0.1717  0.5000

---

VASP calculation (PBE) on a geometry-optimized Sr4AlCd structure.

Results
* excess energy over the best structure of this formula in the dataset: 646 meV per atom
* ΔE_f: 0.486 eV per atom
* space-group type: F-43m, No. 216

Lattice parameters (Å, degrees): 7.1427 7.1427 7.1427 60.00 60.00 60.00
Fractional coordinates of all 6 atoms:
Al  0.7500  0.7500  0.7500
Sr  0.8737  0.3754  0.3754
Sr  0.3754  0.3754  0.8737
Sr  0.3754  0.3754  0.3754
Cd  0.0000  0.0000  0.0000
Sr  0.3754  0.8737  0.3754

---

VASP calculation (PBE) on a geometry-optimized Sr2Al7Cd structure.

Results
* ΔE_f: -0.226 eV per atom
* space-group type: P-4m2, No. 115

Lattice parameters (Å, degrees): 4.4699 4.4699 11.4244 90.00 90.00 90.00
Fractional coordinates of all 10 atoms:
Sr  0.0000  0.5000  0.2547
Al  0.0000  0.5000  0.8607
Al  0.0000  0.5000  0.6323
Sr  0.5000  0.0000  0.7453
Al  0.0000  0.0000  0.5000
Al  0.5000  0.0000  0.1393
Al  0.5000  0.0000  0.3677
Al  0.5000  0.5000  0.5000
Cd  0.5000  0.5000  0.0000
Al  0.0000  0.0000  0.0000

---

VASP calculation (PBE) on a geometry-optimized SrAl3Cd structure.

Results
* ΔE_f: 0.381 eV per atom
* space-group type: Pm-3m, No. 221

Lattice parameters (Å, degrees): 5.2136 5.2136 5.2136 90.00 90.00 90.00
Fractional coordinates of all 5 atoms:
Al  0.0000  0.5000  0.0000
Cd  0.0000  0.0000  0.0000
Al  0.0000  0.0000  0.5000
Sr  0.5000  0.5000  0.5000
Al  0.5000  0.0000  0.0000

---

VASP calculation (PBE) on a geometry-optimized Sr3Al2Cd7 structure.

Results
* ΔE_f: -0.228 eV per atom
* space-group type: R-3m, No. 166

Lattice parameters (Å, degrees): 6.1622 6.1622 10.1754 72.37 72.37 60.00
Fractional coordinates of all 12 atoms:
Cd  0.5000  0.5000  0.5000
Sr  0.8574  0.8574  0.4277
Cd  0.5824  0.0747  0.7605
Al  0.3346  0.3346  0.9962
Cd  0.4176  0.9253  0.2395
Cd  0.4176  0.4176  0.2395
Cd  0.9253  0.4176  0.2395
Al  0.6654  0.6654  0.0038
Cd  0.5824  0.5824  0.7605
Sr  0.0000  0.0000  0.0000
Sr  0.1426  0.1426  0.5723
Cd  0.0747  0.5824  0.7605

---

VASP calculation (PBE) on a geometry-optimized SrAl2Cd6 structure.

Results
* ΔE_f: -0.110 eV per atom
* space-group type: P4/mmm, No. 123

Lattice parameters (Å, degrees): 4.5595 4.5595 10.1533 90.00 90.00 90.00
Fractional coordinates of all 9 atoms:
Cd  0.5000  0.0000  0.7164
Cd  0.0000  0.0000  0.5000
Cd  0.5000  0.0000  0.2836
Cd  0.0000  0.5000  0.2836
Al  0.5000  0.5000  0.1267
Sr  0.0000  0.0000  0.0000
Cd  0.0000  0.5000  0.7164
Al  0.5000  0.5000  0.8734
Cd  0.5000  0.5000  0.5000